The following is a DFT calculation (PBE-GGA) of an optimized crystal structure of SbOs2Pt.

a b c (Å): 4.750 4.750 4.750
angles (deg): 128.17 128.17 76.35
Atoms (fractional coordinates):
Os1 0.000 0.000 0.000
Os2 0.500 0.500 0.000
Pt1 0.250 0.750 0.500
Sb1 0.750 0.250 0.500

Values from the calculation:
- formation energy without anion corrections (eV/atom) = 0.511
- total magnetic moment (μB per atom) = 0.00
- VASP energy (eV/atom) = -7.644
- SG = I4/mmm

---

The following is a DFT calculation (PBE-GGA) of an optimized crystal structure of Pm4PrSi2.

a b c (Å): 4.092 9.927 9.927
angles (deg): 90.00 90.00 90.00
Atoms (fractional coordinates):
Pm1 0.000 0.104 0.329
Pm2 0.000 0.896 0.671
Pm3 0.500 0.171 0.604
Pm4 0.500 0.829 0.396
Pm5 0.500 0.396 0.829
Pm6 0.500 0.604 0.171
Pm7 0.000 0.329 0.104
Pm8 0.000 0.671 0.896
Pr1 0.500 0.000 0.000
Pr2 0.000 0.500 0.500
Si1 0.000 0.166 0.834
Si2 0.000 0.834 0.166
Si3 0.500 0.666 0.666
Si4 0.500 0.334 0.334

Values from the calculation:
- formation energy without anion corrections (eV/atom) = -0.360
- total magnetic moment (μB per atom) = 0.00
- VASP energy (eV/atom) = -5.307
- SG = P4_2/mnm

---

The following is a DFT calculation (PBE-GGA) of an optimized crystal structure of LaZrTc2.

a b c (Å): 3.091 3.091 8.927
angles (deg): 90.00 90.00 114.09
Atoms (fractional coordinates):
La1 0.500 0.500 0.750
Tc1 0.000 0.000 0.012
Tc2 0.000 0.000 0.488
Zr1 0.500 0.500 0.250

Values from the calculation:
- energy of formation (eV per atom) = 0.18
- total magnetic moment (μB per atom) = 0.00
- E above lowest polymorph (eV/atom) = 0.1194
- VASP energy (eV/atom) = -8.368
- SG = Cmmm

---

The following is a DFT calculation (PBE-GGA) of an optimized crystal structure of HfTl2V2Te6.

a b c (Å): 6.856 6.856 8.696
angles (deg): 96.63 96.63 119.49
Atoms (fractional coordinates):
Hf1 0.000 0.000 0.500
Tl1 0.831 0.169 0.000
Tl2 0.169 0.831 0.000
V1 0.348 0.652 0.500
V2 0.652 0.348 0.500
Te1 0.719 0.719 0.706
Te2 0.051 0.402 0.688
Te3 0.281 0.281 0.294
Te4 0.402 0.051 0.688
Te5 0.949 0.598 0.312
Te6 0.598 0.949 0.312

Values from the calculation:
- formation energy without anion corrections (eV/atom) = -0.433
- total magnetic moment (μB per atom) = 0.37
- VASP energy (eV/atom) = -5.140
- SG = C2/m

---

The following is a DFT calculation (PBE-GGA) of an optimized crystal structure of Ho6Sc5.

a b c (Å): 9.632 7.918 5.697
angles (deg): 75.62 65.91 52.54
Atoms (fractional coordinates):
Ho1 0.813 0.000 0.624
Ho2 0.187 0.000 0.376
Ho3 0.334 0.711 0.867
Ho4 0.955 0.711 0.133
Ho5 0.666 0.289 0.133
Ho6 0.045 0.289 0.867
Sc1 0.500 0.000 0.500
Sc2 0.373 0.253 0.000
Sc3 0.627 0.747 0.000
Sc4 0.234 0.532 0.500
Sc5 0.766 0.468 0.500

Values from the calculation:
- energy of formation (eV per atom) = 0.14
- total magnetic moment (μB per atom) = 0.00
- E above lowest polymorph (eV/atom) = 0.0063
- VASP energy (eV/atom) = -5.234
- SG = C2/m

---

The following is a DFT calculation (PBE-GGA) of an optimized crystal structure of HoPd2Au5.

a b c (Å): 4.199 5.870 11.788
angles (deg): 90.00 90.00 90.00
Atoms (fractional coordinates):
Ho1 0.000 0.000 0.500
Ho2 0.000 0.500 0.000
Pd1 0.500 0.252 0.624
Pd2 0.500 0.748 0.376
Pd3 0.500 0.248 0.124
Pd4 0.500 0.752 0.876
Au1 0.000 0.000 0.000
Au2 0.000 0.500 0.500
Au3 0.000 0.500 0.752
Au4 0.000 0.500 0.248
Au5 0.000 0.000 0.252
Au6 0.000 0.000 0.748
Au7 0.500 0.245 0.872
Au8 0.500 0.755 0.128
Au9 0.500 0.255 0.372
Au10 0.500 0.745 0.628

Values from the calculation:
- energy of formation (eV per atom) = -0.44
- total magnetic moment (μB per atom) = 0.00
- VASP energy (eV/atom) = -4.361
- SG = Pbam

---

The following is a DFT calculation (PBE-GGA) of an optimized crystal structure of Ac6Pr2Er3.

a b c (Å): 6.624 6.604 12.112
angles (deg): 85.02 80.03 59.90
Atoms (fractional coordinates):
Ac1 0.412 0.668 0.753
Ac2 0.744 0.000 0.749
Ac3 0.080 0.332 0.753
Ac4 0.256 0.000 0.251
Ac5 0.588 0.332 0.247
Ac6 0.920 0.668 0.247
Pr1 0.169 0.661 0.500
Pr2 0.831 0.339 0.500
Er1 0.000 0.000 0.000
Er2 0.334 0.332 0.000
Er3 0.666 0.668 0.000

Values from the calculation:
- energy of formation (eV per atom) = 0.19
- total magnetic moment (μB per atom) = 0.00
- VASP energy (eV/atom) = -4.166
- SG = C2/m

---

The following is a DFT calculation (PBE-GGA) of an optimized crystal structure of NaTlPb14.

a b c (Å): 8.387 8.387 7.121
angles (deg): 90.00 90.00 90.00
Atoms (fractional coordinates):
Na1 0.375 0.375 0.500
Tl1 0.875 0.875 0.500
Pb1 0.875 0.875 0.000
Pb2 0.375 0.375 0.000
Pb3 0.875 0.375 0.500
Pb4 0.875 0.375 0.000
Pb5 0.375 0.875 0.500
Pb6 0.375 0.875 0.000
Pb7 0.624 0.126 0.244
Pb8 0.624 0.126 0.756
Pb9 0.126 0.624 0.244
Pb10 0.126 0.624 0.756
Pb11 0.624 0.624 0.244
Pb12 0.624 0.624 0.756
Pb13 0.126 0.126 0.244
Pb14 0.126 0.126 0.756

Values from the calculation:
- energy of formation (eV per atom) = 0.00
- total magnetic moment (μB per atom) = 0.00
- VASP energy (eV/atom) = -3.476
- SG = P4/mmm

---

The following is a DFT calculation (PBE-GGA) of an optimized crystal structure of BaSn4Au2.

a b c (Å): 4.664 9.047 9.047
angles (deg): 90.00 90.00 90.00
Atoms (fractional coordinates):
Ba1 0.500 0.000 0.000
Ba2 0.000 0.500 0.500
Sn1 0.000 0.083 0.332
Sn2 0.000 0.917 0.668
Sn3 0.500 0.168 0.583
Sn4 0.500 0.832 0.417
Sn5 0.500 0.417 0.832
Sn6 0.500 0.583 0.168
Sn7 0.000 0.332 0.083
Sn8 0.000 0.668 0.917
Au1 0.000 0.212 0.788
Au2 0.000 0.788 0.212
Au3 0.500 0.712 0.712
Au4 0.500 0.288 0.288

Values from the calculation:
- energy of formation (eV per atom) = -0.37
- total magnetic moment (μB per atom) = 0.00
- E above lowest polymorph (eV/atom) = 0.0000
- VASP energy (eV/atom) = -3.872
- SG = P4_2/mnm

---

- What is the total magnetic moment in the ninth record?
  0.00 μB per atom